i:
Entry from OQMD via LeMat-Bulk: a relaxed structure of NaSmZnS3 (PBE).

a = 8.004 Å, b = 4.011 Å, c = 15.874 Å
α = 90.00°, β = 90.00°, γ = 90.00°
Atoms (fractional coordinates):
Na 0.071 0.250 0.226
Na 0.429 0.750 0.726
Na 0.571 0.250 0.274
Na 0.929 0.750 0.774
Sm 0.238 0.250 0.951
Sm 0.262 0.750 0.451
Sm 0.738 0.250 0.549
Sm 0.762 0.750 0.049
Zn 0.133 0.250 0.642
Zn 0.367 0.750 0.142
Zn 0.633 0.250 0.858
Zn 0.867 0.750 0.358
S 0.001 0.250 0.411
S 0.127 0.750 0.058
S 0.189 0.250 0.782
S 0.311 0.750 0.282
S 0.373 0.250 0.558
S 0.499 0.750 0.911
S 0.501 0.250 0.089
S 0.627 0.750 0.442
S 0.689 0.250 0.718
S 0.811 0.750 0.218
S 0.873 0.250 0.942
S 0.999 0.750 0.589

ii:
Entry from OQMD via LeMat-Bulk: a relaxed structure of NaSmZnS3 (PBE).

a = 10.804 Å, b = 3.976 Å, c = 12.909 Å
α = 90.00°, β = 90.00°, γ = 90.00°
Atoms (fractional coordinates):
Na 0.208 0.250 0.000
Na 0.292 0.750 0.500
Na 0.708 0.250 0.500
Na 0.792 0.750 0.000
Sm 0.013 0.750 0.266
Sm 0.487 0.250 0.766
Sm 0.513 0.750 0.234
Sm 0.987 0.250 0.734
Zn 0.235 0.750 0.784
Zn 0.265 0.250 0.284
Zn 0.735 0.750 0.716
Zn 0.765 0.250 0.216
S 0.052 0.750 0.877
S 0.100 0.250 0.397
S 0.242 0.250 0.674
S 0.258 0.750 0.174
S 0.400 0.750 0.897
S 0.448 0.250 0.377
S 0.552 0.750 0.623
S 0.600 0.250 0.103
S 0.742 0.250 0.826
S 0.758 0.750 0.326
S 0.900 0.750 0.603
S 0.948 0.250 0.123

Most stable structure, least stable structure: ii, i.

i:
Entry from OQMD via LeMat-Bulk: a relaxed structure of NaSmZnS3 (PBE).

a = 13.346 Å, b = 3.968 Å, c = 10.937 Å
α = 90.00°, β = 90.00°, γ = 90.00°
Atoms (fractional coordinates):
Na 0.238 0.250 0.075
Na 0.262 0.750 0.575
Na 0.738 0.250 0.425
Na 0.762 0.750 0.925
Sm 0.021 0.250 0.343
Sm 0.479 0.750 0.843
Sm 0.521 0.250 0.157
Sm 0.979 0.750 0.657
Zn 0.012 0.750 0.095
Zn 0.488 0.250 0.595
Zn 0.512 0.750 0.405
Zn 0.988 0.250 0.905
S 0.090 0.750 0.894
S 0.108 0.250 0.571
S 0.139 0.750 0.238
S 0.361 0.250 0.738
S 0.392 0.750 0.071
S 0.410 0.250 0.394
S 0.590 0.750 0.606
S 0.608 0.250 0.929
S 0.639 0.750 0.262
S 0.861 0.250 0.762
S 0.892 0.750 0.429
S 0.910 0.250 0.106

ii:
Entry from OQMD via LeMat-Bulk: a relaxed structure of NaSmZnS3 (PBE).

a = 6.772 Å, b = 6.772 Å, c = 10.802 Å
α = 90.00°, β = 90.00°, γ = 145.93°
Atoms (fractional coordinates):
Na 0.248 0.752 0.750
Na 0.752 0.248 0.250
Sm 0.000 0.000 0.000
Sm 0.000 0.000 0.500
Zn 0.467 0.533 0.250
Zn 0.533 0.467 0.750
S 0.077 0.923 0.250
S 0.363 0.637 0.076
S 0.363 0.637 0.424
S 0.637 0.363 0.576
S 0.637 0.363 0.924
S 0.923 0.077 0.750

Most stable structure, least stable structure: ii, i.